# 1
## CsCaIr3 (PBE)

Data for an optimized crystal structure of CsCaIr3.

Values from the calculation:
Fermi-level density of states = 6.1 states/eV per cell
DFT formation energy = 2.2334 eV/atom
Calculated volume = 25.8 Å³/atom
Final energy = -18.271 eV for the cell shown
Space group = No. 221

Unit cell a=5.0496 b=5.0496 c=5.0496 alpha=90.00 beta=90.00 gamma=90.00
Fractional positions:
Cs (0.0000, 0.0000, 0.0000)
Ca (0.5000, 0.5000, 0.5000)
Ir (0.0000, 0.0000, 0.5000)
Ir (0.0000, 0.5000, 0.0000)
Ir (0.5000, 0.0000, 0.0000)



# 2
## NaSrLa2Pd (PBE)

Data for an optimized crystal structure of NaSrLa2Pd.

Values from the calculation:
Fermi-level density of states = 5.8 states/eV per cell
Offset from the most stable computed form = 0 meV/atom
DFT formation energy = -0.1633 eV/atom
Calculated volume = 40.7 Å³/atom
Final energy = -18.865 eV for the cell shown
Space group = No. 123

Unit cell a=5.7093 b=5.7093 c=6.2502 alpha=90.00 beta=90.00 gamma=90.00
Fractional positions:
Na (0.0000, 0.0000, 0.0000)
Sr (0.5000, 0.5000, 0.0000)
La (0.0000, 0.5000, 0.5000)
La (0.5000, 0.0000, 0.5000)
Pd (0.5000, 0.5000, 0.5000)



# 3
## Ba3SrIr2O9 (PBE)

Data for an optimized crystal structure of Ba3SrIr2O9.

Values from the calculation:
Fermi-level density of states = 5.1 states/eV per cell
Offset from the most stable computed form = 22 meV/atom
Formation energy (no corrections) = -2722 kJ/mol of formula units
Calculated volume = 15.3 Å³/atom
Final energy = -98.007 eV for the cell shown
Space group = No. 164

Unit cell a=5.9569 b=5.9569 c=7.4524 alpha=90.00 beta=90.00 gamma=120.00
Fractional positions:
Ba (0.0000, 0.0000, 0.0000)
Ba (0.3333, 0.6667, 0.6794)
Ba (0.6667, 0.3333, 0.3206)
Sr (0.0000, 0.0000, 0.5000)
Ir (0.3333, 0.6667, 0.1534)
Ir (0.6667, 0.3333, 0.8466)
O (0.0000, 0.5000, 0.0000)
O (0.1808, 0.3616, 0.3041)
O (0.1808, 0.8192, 0.3041)
O (0.3616, 0.1808, 0.6959)
O (0.5000, 0.0000, 0.0000)
O (0.5000, 0.5000, 0.0000)
O (0.6384, 0.8192, 0.3041)
O (0.8192, 0.1808, 0.6959)
O (0.8192, 0.6384, 0.6959)



# 4
## InCu2Sb (PBE)

Data for an optimized crystal structure of InCu2Sb.

Values from the calculation:
Fermi-level density of states = 2.4 states/eV per cell
Formation energy (no corrections) = 152 kJ/mol of formula units
Calculated volume = 19.7 Å³/atom
Final energy = -13.480 eV for the cell shown
Space group = No. 216

Unit cell a=4.8115 b=4.8115 c=4.8115 alpha=60.00 beta=60.00 gamma=60.00
Fractional positions:
In (0.0000, 0.0000, 0.0000)
Cu (0.5000, 0.5000, 0.5000)
Cu (0.7500, 0.7500, 0.7500)
Sb (0.2500, 0.2500, 0.2500)



Number 4 is which compound?
InCu2Sb